Record 1
# La5Tb2YTh

A geometry-optimized La5Tb2YTh structure (GGA-PBE, Alexandria via LeMat-Bulk).

E_form = 0.13 eV per atom
space-group type = Cmcm, No. 63
raw total energy = -5.181 eV per atom

Structure (CIF):
```
data_La5Tb2YTh
_chemical_formula_sum 'La10 Tb4 Y2 Th2'
_cell_length_a 11.274
_cell_length_b 11.274
_cell_length_c 10.682
_cell_angle_alpha 90.00
_cell_angle_beta 90.00
_cell_angle_gamma 151.65
_symmetry_space_group_name_H-M 'P 1'
_symmetry_Int_Tables_number 1
_symmetry_space_group_name_Hall 'P 1'
loop_
_atom_site_label
_atom_site_type_symbol
_atom_site_fract_x
_atom_site_fract_y
_atom_site_fract_z
La1 La 0.000 0.000 0.000
La2 La 0.000 0.000 0.500
La3 La 0.128 0.872 0.750
La4 La 0.224 0.776 0.058
La5 La 0.224 0.776 0.442
La6 La 0.498 0.502 0.250
La7 La 0.502 0.498 0.750
La8 La 0.776 0.224 0.558
La9 La 0.776 0.224 0.942
La10 La 0.872 0.128 0.250
Tb1 Tb 0.388 0.612 0.507
Tb2 Tb 0.388 0.612 0.993
Tb3 Tb 0.612 0.388 0.007
Tb4 Tb 0.612 0.388 0.493
Y1 Y 0.102 0.898 0.250
Y2 Y 0.898 0.102 0.750
Th1 Th 0.288 0.712 0.750
Th2 Th 0.712 0.288 0.250
```

=====

Record 2
# Ta2TiNbN

A geometry-optimized Ta2TiNbN structure (GGA-PBE, Alexandria via LeMat-Bulk).

space-group type = P4/mmm, No. 123
energy relative to the elements, uncorrected = -475.6 meV per atom
raw total energy = -10.475 eV per atom

Structure (CIF):
```
data_Ta2TiNbN
_chemical_formula_sum 'Ta2 Ti1 Nb1 N1'
_cell_length_a 4.254
_cell_length_b 4.254
_cell_length_c 4.343
_cell_angle_alpha 90.00
_cell_angle_beta 90.00
_cell_angle_gamma 90.00
_symmetry_space_group_name_H-M 'P 1'
_symmetry_Int_Tables_number 1
_symmetry_space_group_name_Hall 'P 1'
loop_
_atom_site_label
_atom_site_type_symbol
_atom_site_fract_x
_atom_site_fract_y
_atom_site_fract_z
Ta1 Ta 0.000 0.500 0.000
Ta2 Ta 0.500 0.000 0.000
Ti1 Ti 0.000 0.000 0.500
Nb1 Nb 0.500 0.500 0.500
N1 N 0.500 0.500 0.000
```

=====

Record 3
# LiErPaIr

A geometry-optimized LiErPaIr structure (GGA-PBE, Alexandria via LeMat-Bulk).

E_form = -0.29 eV per atom
space-group type = F-43m, No. 216
raw total energy = -6.503 eV per atom

Structure (CIF):
```
data_LiErPaIr
_chemical_formula_sum 'Li1 Er1 Pa1 Ir1'
_cell_length_a 4.900
_cell_length_b 4.900
_cell_length_c 4.900
_cell_angle_alpha 60.00
_cell_angle_beta 60.00
_cell_angle_gamma 60.00
_symmetry_space_group_name_H-M 'P 1'
_symmetry_Int_Tables_number 1
_symmetry_space_group_name_Hall 'P 1'
loop_
_atom_site_label
_atom_site_type_symbol
_atom_site_fract_x
_atom_site_fract_y
_atom_site_fract_z
Li1 Li 0.000 0.000 0.000
Er1 Er 0.250 0.250 0.250
Pa1 Pa 0.750 0.750 0.750
Ir1 Ir 0.500 0.500 0.500
```

=====

Record 4
# LuZnPd

A geometry-optimized LuZnPd structure (GGA-PBE, Alexandria via LeMat-Bulk).

E_form = -0.58 eV per atom
space-group type = F-43m, No. 216
raw total energy = -4.244 eV per atom

Structure (CIF):
```
data_LuZnPd
_chemical_formula_sum 'Lu1 Zn1 Pd1'
_cell_length_a 4.508
_cell_length_b 4.508
_cell_length_c 4.508
_cell_angle_alpha 60.00
_cell_angle_beta 60.00
_cell_angle_gamma 60.00
_symmetry_space_group_name_H-M 'P 1'
_symmetry_Int_Tables_number 1
_symmetry_space_group_name_Hall 'P 1'
loop_
_atom_site_label
_atom_site_type_symbol
_atom_site_fract_x
_atom_site_fract_y
_atom_site_fract_z
Lu1 Lu 0.000 0.000 0.000
Zn1 Zn 0.500 0.500 0.500
Pd1 Pd 0.750 0.750 0.750
```

=====

Record 5
# K2PrIrO6

A geometry-optimized K2PrIrO6 structure (GGA-PBE, Alexandria via LeMat-Bulk).

energy relative to the elements, uncorrected = -1641.4 meV per atom
raw total energy = -6.200 eV per atom

Structure (CIF):
```
data_K2PrIrO6
_chemical_formula_sum 'K4 Pr2 Ir2 O12'
_cell_length_a 6.043
_cell_length_b 6.043
_cell_length_c 8.556
_cell_angle_alpha 90.00
_cell_angle_beta 89.98
_cell_angle_gamma 90.00
_symmetry_space_group_name_H-M 'P 1'
_symmetry_Int_Tables_number 1
_symmetry_space_group_name_Hall 'P 1'
loop_
_atom_site_label
_atom_site_type_symbol
_atom_site_fract_x
_atom_site_fract_y
_atom_site_fract_z
K1 K 0.000 0.000 0.250
K2 K 0.500 0.500 0.750
K3 K 0.000 0.000 0.750
K4 K 0.500 0.500 0.250
Pr1 Pr 0.500 0.000 0.000
Pr2 Pr 0.000 0.500 0.500
Ir1 Ir 0.500 0.000 0.500
Ir2 Ir 0.000 0.500 0.000
O1 O 0.224 0.724 0.001
O2 O 0.724 0.776 0.501
O3 O 0.776 0.276 0.999
O4 O 0.276 0.224 0.499
O5 O 0.276 0.776 0.499
O6 O 0.776 0.724 0.999
O7 O 0.724 0.224 0.501
O8 O 0.224 0.276 0.001
O9 O 0.999 0.500 0.224
O10 O 0.499 0.000 0.724
O11 O 0.001 0.500 0.776
O12 O 0.501 0.000 0.276
```

=====

Record 6
# SrTaGe2S8

A geometry-optimized SrTaGe2S8 structure (GGA-PBE, Alexandria via LeMat-Bulk).

space-group type = P-3, No. 147
energy relative to the elements, uncorrected = -607.3 meV per atom
raw total energy = -5.256 eV per atom

Structure (CIF):
```
data_SrTaGe2S8
_chemical_formula_sum 'Sr1 Ta1 Ge2 S8'
_cell_length_a 6.127
_cell_length_b 6.127
_cell_length_c 8.559
_cell_angle_alpha 90.00
_cell_angle_beta 90.00
_cell_angle_gamma 120.00
_symmetry_space_group_name_H-M 'P 1'
_symmetry_Int_Tables_number 1
_symmetry_space_group_name_Hall 'P 1'
loop_
_atom_site_label
_atom_site_type_symbol
_atom_site_fract_x
_atom_site_fract_y
_atom_site_fract_z
Sr1 Sr 0.000 0.000 0.000
Ta1 Ta 0.000 0.000 0.500
Ge1 Ge 0.333 0.667 0.737
Ge2 Ge 0.667 0.333 0.263
S1 S 0.021 0.692 0.329
S2 S 0.308 0.329 0.329
S3 S 0.329 0.021 0.671
S4 S 0.333 0.667 0.994
S5 S 0.667 0.333 0.006
S6 S 0.671 0.979 0.329
S7 S 0.692 0.671 0.671
S8 S 0.979 0.308 0.671
```

=====

Record 7
# Ac2O3F

A geometry-optimized Ac2O3F structure (GGA-PBE, Alexandria via LeMat-Bulk).

space-group type = Ibam, No. 72
energy relative to the elements, uncorrected = -3175.5 meV per atom
raw total energy = -7.336 eV per atom

Structure (CIF):
```
data_Ac2O3F
_chemical_formula_sum 'Ac4 O6 F2'
_cell_length_a 7.475
_cell_length_b 7.475
_cell_length_c 7.475
_cell_angle_alpha 131.53
_cell_angle_beta 70.31
_cell_angle_gamma 132.37
_symmetry_space_group_name_H-M 'P 1'
_symmetry_Int_Tables_number 1
_symmetry_space_group_name_Hall 'P 1'
loop_
_atom_site_label
_atom_site_type_symbol
_atom_site_fract_x
_atom_site_fract_y
_atom_site_fract_z
Ac1 Ac 0.139 0.222 0.361
Ac2 Ac 0.361 0.722 0.083
Ac3 Ac 0.639 0.278 0.917
Ac4 Ac 0.861 0.778 0.639
O1 O 0.008 0.750 0.258
O2 O 0.250 0.250 0.000
O3 O 0.492 0.750 0.742
O4 O 0.508 0.250 0.258
O5 O 0.750 0.750 0.000
O6 O 0.992 0.250 0.742
F1 F 0.000 0.500 0.500
F2 F 0.500 0.000 0.500
```

=====

Record 8
# RbAs2Ir

A geometry-optimized RbAs2Ir structure (GGA-PBE, Alexandria via LeMat-Bulk).

E_form = 0.54 eV per atom
space-group type = Fm-3m, No. 225
raw total energy = -4.244 eV per atom

Structure (CIF):
```
data_RbAs2Ir
_chemical_formula_sum 'Rb1 As2 Ir1'
_cell_length_a 4.828
_cell_length_b 4.828
_cell_length_c 4.828
_cell_angle_alpha 60.00
_cell_angle_beta 60.00
_cell_angle_gamma 60.00
_symmetry_space_group_name_H-M 'P 1'
_symmetry_Int_Tables_number 1
_symmetry_space_group_name_Hall 'P 1'
loop_
_atom_site_label
_atom_site_type_symbol
_atom_site_fract_x
_atom_site_fract_y
_atom_site_fract_z
Rb1 Rb 0.000 0.000 0.000
As1 As 0.250 0.250 0.250
As2 As 0.750 0.750 0.750
Ir1 Ir 0.500 0.500 0.500
```

=====

Record 9
# Ba3I2

A geometry-optimized Ba3I2 structure (GGA-PBE, Alexandria via LeMat-Bulk).

space-group type = R-3c, No. 167
energy relative to the elements, uncorrected = -964.4 meV per atom
raw total energy = -2.738 eV per atom

Structure (CIF):
```
data_Ba3I2
_chemical_formula_sum 'Ba6 I4'
_cell_length_a 9.596
_cell_length_b 9.596
_cell_length_c 9.596
_cell_angle_alpha 52.95
_cell_angle_beta 52.95
_cell_angle_gamma 52.95
_symmetry_space_group_name_H-M 'P 1'
_symmetry_Int_Tables_number 1
_symmetry_space_group_name_Hall 'P 1'
loop_
_atom_site_label
_atom_site_type_symbol
_atom_site_fract_x
_atom_site_fract_y
_atom_site_fract_z
Ba1 Ba 0.097 0.750 0.403
Ba2 Ba 0.250 0.597 0.903
Ba3 Ba 0.403 0.097 0.750
Ba4 Ba 0.597 0.903 0.250
Ba5 Ba 0.750 0.403 0.097
Ba6 Ba 0.903 0.250 0.597
I1 I 0.169 0.169 0.169
I2 I 0.331 0.331 0.331
I3 I 0.669 0.669 0.669
I4 I 0.831 0.831 0.831
```

=====

Record 10
# Tb5Al2Zn

A geometry-optimized Tb5Al2Zn structure (GGA-PBE, Alexandria via LeMat-Bulk).

E_form = -0.24 eV per atom
space-group type = I4/mcm, No. 140
raw total energy = -4.230 eV per atom

Structure (CIF):
```
data_Tb5Al2Zn
_chemical_formula_sum 'Tb10 Al4 Zn2'
_cell_length_a 9.173
_cell_length_b 9.173
_cell_length_c 9.173
_cell_angle_alpha 130.92
_cell_angle_beta 130.92
_cell_angle_gamma 71.94
_symmetry_space_group_name_H-M 'P 1'
_symmetry_Int_Tables_number 1
_symmetry_space_group_name_Hall 'P 1'
loop_
_atom_site_label
_atom_site_type_symbol
_atom_site_fract_x
_atom_site_fract_y
_atom_site_fract_z
Tb1 Tb 0.000 0.000 0.000
Tb2 Tb 0.023 0.523 0.844
Tb3 Tb 0.179 0.023 0.500
Tb4 Tb 0.321 0.821 0.844
Tb5 Tb 0.477 0.321 0.500
Tb6 Tb 0.500 0.500 0.000
Tb7 Tb 0.523 0.679 0.500
Tb8 Tb 0.679 0.179 0.156
Tb9 Tb 0.821 0.977 0.500
Tb10 Tb 0.977 0.477 0.156
Al1 Al 0.120 0.380 0.500
Al2 Al 0.380 0.880 0.260
Al3 Al 0.620 0.120 0.740
Al4 Al 0.880 0.620 0.500
Zn1 Zn 0.250 0.250 0.000
Zn2 Zn 0.750 0.750 0.000
```